The following is a DFT calculation (GGA-PBE) of crystalline ZnNiMo2 at its relaxed geometry.

a b c (Å): 2.6080 3.9683 5.5277
angles (deg): 90.00 90.00 90.00
Space group Pmm2 (No. 25)
Asymmetric unit:
Zn 0.0000 0.0000 0.0000 (multiplicity 1)
Ni 0.5000 0.5000 0.7806 (multiplicity 1)
Mo 0.0000 0.0000 0.5213 (multiplicity 1)
Mo 0.5000 0.5000 0.2602 (multiplicity 1)

DFT formation energy, eV per atom: 0.13
Magnetization, μB per formula unit: 0.00



The following is a DFT calculation (GGA-PBE) of crystalline ZnNi2Mo at its relaxed geometry.

a b c (Å): 2.6404 4.3856 8.9677
angles (deg): 90.00 90.00 90.00
Space group Imm2 (No. 44)
Asymmetric unit:
Zn 0.0000 0.0000 0.0000 (multiplicity 2)
Ni 0.0000 0.0000 0.5225 (multiplicity 2)
Ni 0.0000 0.5000 0.2517 (multiplicity 2)
Mo 0.0000 0.5000 0.7795 (multiplicity 2)

DFT formation energy, eV per atom: 0.06
Magnetization, μB per formula unit: 0.00



Q: Which formula does entry 1 have?
A: ZnNiMo2



Q: DFT formation energy of number 1 (ZnNiMo2)?
A: 0.13 eV per atom



Q: DFT formation energy of number 2 (ZnNi2Mo)?
A: 0.06 eV per atom